Record 1
## P2RuAu (PBE-GGA)

Data for a geometry-optimized P2RuAu structure.

The structure belongs to space group P2/m (No. 10); the cell edges are 4.0156, 3.9216 and 4.3005 Å and the angles 90.00°, 94.39° and 90.00°. The asymmetric unit holds P at (0.1295, 0.0000, 0.2889), Ru at (0.0000, 0.5000, 0.0000) and Au at (0.5000, 0.5000, 0.5000).

For the density of states at the Fermi level, the calculation gives 2.93 states/eV/cell. The calculated total energy is -5.704 eV per atom. The energy above the most stable polymorph in this dataset comes out at 0.229 eV/atom.



Record 2
## PRu2Au (PBE-GGA)

Data for a geometry-optimized PRu2Au structure.

The structure belongs to space group Cm (No. 8); the cell edges are 9.2540, 2.8467 and 4.8399 Å and the angles 90.00°, 105.24° and 90.00°. The asymmetric unit holds P at (0.0000, 0.0000, 0.0000), Ru at (0.2208, 0.5000, 0.1642), Ru at (0.4719, 0.0000, 0.3619) and Au at (0.2414, 0.0000, 0.6649).

For the density of states at the Fermi level, the calculation gives 6.03 states/eV/cell. The calculated total energy is -6.597 eV per atom.



Record 3
## P2RuAu (PBE-GGA)

Data for a geometry-optimized P2RuAu structure.

The structure belongs to space group P4mm (No. 99); the cell edges are 2.8924, 2.8924 and 7.6416 Å and the angles 90.00°, 90.00° and 90.00°. The asymmetric unit holds P at (0.0000, 0.0000, 0.0000), P at (0.5000, 0.5000, 0.3183), Ru at (0.0000, 0.0000, 0.4746) and Au at (0.5000, 0.5000, 0.7577).

For the density of states at the Fermi level, the calculation gives 2.65 states/eV/cell. The calculated total energy is -5.634 eV per atom. The energy above the most stable polymorph in this dataset comes out at 0.298 eV/atom.



Record 4
## PRu2Au (PBE-GGA)

Data for a geometry-optimized PRu2Au structure.

The structure belongs to space group F-43m (No. 216); the cell edges are 6.2234, 6.2234 and 6.2234 Å and the angles 90.00°, 90.00° and 90.00°. The asymmetric unit holds P at (0.0000, 0.0000, 0.0000), Ru at (0.0000, 0.0000, 0.5000), Ru at (0.2500, 0.2500, 0.2500) and Au at (0.2500, 0.2500, 0.7500).

For the density of states at the Fermi level, the calculation gives 18.20 states/eV/cell. The calculated total energy is -6.249 eV per atom.



Record 5
## TlPRu2Au (PBE-GGA)

Data for a geometry-optimized TlPRu2Au structure.

The structure belongs to space group P4/mmm (No. 123); the cell edges are 5.0905, 5.0905 and 4.8588 Å and the angles 90.00°, 90.00° and 90.00°. The asymmetric unit holds Tl at (0.0000, 0.0000, 0.0000), P at (0.0000, 0.0000, 0.5000), Ru at (0.0000, 0.5000, 0.0000) and Au at (0.5000, 0.5000, 0.5000).

For the density of states at the Fermi level, the calculation gives 8.06 states/eV/cell. The calculated total energy is -3.797 eV per atom.



Record 6
## PRuW2Au (PBE-GGA)

Data for a geometry-optimized PRuW2Au structure.

The structure belongs to space group P4/mmm (No. 123); the cell edges are 4.6617, 4.6617 and 5.0112 Å and the angles 90.00°, 90.00° and 90.00°. The asymmetric unit holds P at (0.0000, 0.0000, 0.0000), Ru at (0.5000, 0.5000, 0.5000), W at (0.0000, 0.5000, 0.5000) and Au at (0.5000, 0.5000, 0.0000).

For the density of states at the Fermi level, the calculation gives 5.91 states/eV/cell. The calculated total energy is -6.815 eV per atom.



Record 7
## P2AuS (PBE-GGA)

Data for a geometry-optimized P2AuS structure.

The structure belongs to space group P1 (No. 1); the cell edges are 3.9233, 4.1189 and 4.8956 Å and the angles 86.50°, 89.62° and 78.09°. The asymmetric unit holds P at (0.0000, 0.0000, 0.0000), P at (0.4363, 0.5416, 0.4656), Au at (0.0259, 0.1330, 0.4980) and S at (0.4659, 0.6444, 0.0322).

The formation energy from raw total energies is 0.214 eV/atom. For the density of states at the Fermi level, the calculation gives 1.23 states/eV/cell. The calculated total energy is -4.342 eV per atom.



Record 8
## PAu3S (PBE-GGA)

Data for a geometry-optimized PAu3S structure.

The structure belongs to space group Pm-3m (No. 221); the cell edges are 4.7477, 4.7477 and 4.7477 Å and the angles 90.00°, 90.00° and 90.00°. The asymmetric unit holds P at (0.0000, 0.0000, 0.0000), Au at (0.0000, 0.0000, 0.5000) and S at (0.5000, 0.5000, 0.5000).

The formation energy from raw total energies is 0.570 eV/atom. For the density of states at the Fermi level, the calculation gives 4.63 states/eV/cell. The calculated total energy is -3.304 eV per atom. The energy above the most stable polymorph in this dataset comes out at 0.000 eV/atom.



Record 9
## PAuS2 (PBE-GGA)

Data for a geometry-optimized PAuS2 structure.

The structure belongs to space group P1 (No. 1); the cell edges are 3.3343, 5.5036 and 6.4288 Å and the angles 71.17°, 75.01° and 72.88°. The asymmetric unit holds P at (0.0000, 0.0000, 0.0000), Au at (0.8570, 0.7854, 0.4976), S at (0.0912, 0.6160, 0.1836) and S at (0.6075, 0.0500, 0.7412).

The formation energy from raw total energies is 0.019 eV/atom. The calculated total energy is -4.217 eV per atom.



Record 10
## PAuS3 (PBE-GGA)

Data for a geometry-optimized PAuS3 structure.

The structure belongs to space group Ima2 (No. 46); the cell edges are 9.3605, 9.7198 and 6.4913 Å and the angles 90.00°, 90.00° and 90.00°. The asymmetric unit holds P at (0.2500, 0.0339, 0.0000), Au at (0.2500, 0.2428, 0.6066), S at (0.1355, 0.6199, 0.6561) and S at (0.2500, 0.0081, 0.6885).

The formation energy from raw total energies is 0.017 eV/atom. The calculated total energy is -4.197 eV per atom.



Record 11
## P2AuS (PBE-GGA)

Data for a geometry-optimized P2AuS structure.

The structure belongs to space group Cm (No. 8); the cell edges are 7.8092, 4.2554 and 5.0892 Å and the angles 90.00°, 93.28° and 90.00°. The asymmetric unit holds P at (0.0000, 0.0000, 0.0000), P at (0.2061, 0.5000, 0.5384), Au at (0.0293, 0.0000, 0.4968) and S at (0.2357, 0.5000, 0.9654).

The formation energy from raw total energies is 0.227 eV/atom. For the density of states at the Fermi level, the calculation gives 4.44 states/eV/cell. The calculated total energy is -4.329 eV per atom.



Record 12
## PAuS4 (PBE-GGA)

Data for a geometry-optimized PAuS4 structure.

The structure belongs to space group C2/m (No. 12); the cell edges are 13.1823, 3.3194 and 6.6922 Å and the angles 90.00°, 114.23° and 90.00°. The asymmetric unit holds P at (0.0000, 0.0000, 0.0000), Au at (0.0000, 0.5000, 0.5000), S at (0.0903, 0.0000, 0.3763) and S at (0.1231, 0.5000, 0.0238).

The formation energy from raw total energies is 0.098 eV/atom. For the density of states at the Fermi level, the calculation gives 1.50 states/eV/cell. The calculated total energy is -4.102 eV per atom. The energy above the most stable polymorph in this dataset comes out at 0.269 eV/atom.